<1>
The following is a PBE-GGA calculation of a relaxed structure of CsNbBr3, from OQMD.

Cell and atoms, written as CIF:
```
data_CsNbBr3
_chemical_formula_sum 'Cs4 Nb4 Br12'
_space_group_name_H-M_alt 'P n m a'
_space_group_IT_number 62
_space_group_name_Hall '-P 2ac 2n'
_cell_length_a 7.6931
_cell_length_b 11.0014
_cell_length_c 7.7026
_cell_angle_alpha 90.00
_cell_angle_beta 90.00
_cell_angle_gamma 90.00
loop_
_atom_site_label
_atom_site_fract_x
_atom_site_fract_y
_atom_site_fract_z
Cs1 0.0417 0.2500 0.0100
Nb1 0.0000 0.0000 0.5000
Br1 0.0178 0.2500 0.5459
Br2 0.2131 0.5223 0.7867
```

Output
As for the crystal system: orthorhombic. As for the total moment: 0.600 μB per atom.

<2>
The following is a PBE-GGA calculation of a relaxed structure of CsNbBr3, from OQMD.

Cell and atoms, written as CIF:
```
data_CsNbBr3
_chemical_formula_sum 'Cs1 Nb1 Br3'
_space_group_name_H-M_alt 'P 4 m m'
_space_group_IT_number 99
_space_group_name_Hall 'P 4 -2'
_cell_length_a 4.9420
_cell_length_b 4.9420
_cell_length_c 8.5337
_cell_angle_alpha 90.00
_cell_angle_beta 90.00
_cell_angle_gamma 90.00
loop_
_atom_site_label
_atom_site_fract_x
_atom_site_fract_y
_atom_site_fract_z
Cs1 0.0000 0.0000 0.0000
Nb1 0.5000 0.5000 0.4188
Br1 0.0000 0.0000 0.6188
Br2 0.0000 0.5000 0.2920
```

Output
As for the crystal system: tetragonal. As for the total moment: 0.601 μB per atom.

<1> wins, 0.429 eV/atom ahead of the next structure.

<1>
The following is a PBE-GGA calculation of a relaxed structure of CsNdBr3, from OQMD.

Cell and atoms, written as CIF:
```
data_CsNdBr3
_chemical_formula_sum 'Cs1 Nd1 Br3'
_space_group_name_H-M_alt 'P m -3 m'
_space_group_IT_number 221
_space_group_name_Hall '-P 4 2 3'
_cell_length_a 5.8159
_cell_length_b 5.8159
_cell_length_c 5.8159
_cell_angle_alpha 90.00
_cell_angle_beta 90.00
_cell_angle_gamma 90.00
loop_
_atom_site_label
_atom_site_fract_x
_atom_site_fract_y
_atom_site_fract_z
Cs1 0.0000 0.0000 0.0000
Nd1 0.5000 0.5000 0.5000
Br1 0.0000 0.5000 0.5000
```

Output
As for the crystal system: cubic. As for the total moment: 0.002 μB per atom.

<2>
The following is a PBE-GGA calculation of a relaxed structure of CsNdBr3, from OQMD.

Cell and atoms, written as CIF:
```
data_CsNdBr3
_chemical_formula_sum 'Cs4 Nd4 Br12'
_space_group_name_H-M_alt 'P n m a'
_space_group_IT_number 62
_space_group_name_Hall '-P 2ac 2n'
_cell_length_a 9.9261
_cell_length_b 4.1907
_cell_length_c 17.4271
_cell_angle_alpha 90.00
_cell_angle_beta 90.00
_cell_angle_gamma 90.00
loop_
_atom_site_label
_atom_site_fract_x
_atom_site_fract_y
_atom_site_fract_z
Cs1 0.0681 0.2500 0.1740
Nd1 0.1321 0.7500 0.4536
Br1 0.0503 0.7500 0.6222
Br2 0.1681 0.7500 0.0030
Br3 0.2305 0.2500 0.8032
```

Output
As for the crystal system: orthorhombic. As for the total moment: 0.200 μB per atom.

<2> wins, 0.075 eV/atom ahead of the next structure.